Entry 1:
Compound: Ac7HgPt5
Source: Alexandria
Functional: GGA-PBE
Structure: relaxed

Results
DFT formation energy   -1034 meV per atom
Uncorrected energy   -5.593 eV per atom
Space group   No. 12

```
Ac7HgPt5
1.0
-1.233 -4.241 0.198
5.115 0.550 -5.712
19.467 -4.864 16.987
Ac Pt Hg
14 10 2
direct
0.365 0.731 0.535
0.092 0.184 0.605
0.365 0.730 0.965
0.466 0.932 0.250
0.175 0.351 0.171
0.092 0.184 0.895
0.635 0.270 0.465
0.534 0.069 0.750
0.909 0.817 0.105
0.826 0.651 0.671
0.825 0.650 0.829
0.175 0.350 0.329
0.908 0.817 0.395
0.635 0.271 0.035
0.000 0.001 0.500
0.459 0.918 0.644
0.728 0.455 0.572
0.459 0.918 0.856
0.542 0.083 0.144
0.728 0.455 0.928
0.273 0.546 0.428
0.541 0.083 0.356
0.000 0.001 0.000
0.273 0.546 0.072
0.209 0.418 0.750
0.792 0.583 0.250
```

Entry 2:
Compound: Ac6HgPt4
Source: Alexandria
Functional: GGA-PBE
Structure: relaxed

Results
DFT formation energy   -977 meV per atom
Uncorrected energy   -5.443 eV per atom
Space group   No. 63

```
Ac6HgPt4
1.0
4.384 0.000 0.000
-2.192 7.373 0.000
0.000 0.000 22.687
Ac Pt Hg
12 8 2
direct
0.329 0.659 0.250
0.500 0.000 0.500
0.040 0.080 0.343
0.228 0.457 0.918
0.500 0.000 0.000
0.040 0.080 0.157
0.228 0.457 0.582
0.772 0.543 0.082
0.671 0.341 0.750
0.960 0.920 0.657
0.772 0.543 0.418
0.960 0.920 0.843
0.863 0.726 0.959
0.863 0.726 0.541
0.137 0.274 0.459
0.594 0.188 0.874
0.406 0.812 0.126
0.594 0.188 0.626
0.406 0.812 0.374
0.137 0.274 0.041
0.656 0.312 0.250
0.344 0.688 0.750
```

Entry 3:
Compound: Ac4HgPt
Source: Alexandria
Functional: GGA-PBE
Structure: relaxed

Results
DFT formation energy   -476 meV per atom
Uncorrected energy   -4.272 eV per atom
Space group   No. 14
Energy above the most stable polymorph in this dataset   74 meV per atom

```
Ac4HgPt
1.0
-4.574 0.172 6.384
0.262 -7.770 0.398
6.825 0.424 3.789
Ac Pt Hg
8 2 2
direct
0.189 0.838 0.647
0.377 0.851 0.166
0.123 0.351 0.834
0.689 0.662 0.647
0.877 0.649 0.166
0.311 0.338 0.353
0.811 0.162 0.353
0.623 0.149 0.834
0.500 0.000 0.500
0.000 0.500 0.500
0.500 0.500 0.000
0.000 0.000 0.000
```

Entry 4:
Compound: AcHg3Pt
Source: Alexandria
Functional: GGA-PBE
Structure: relaxed

Results
DFT formation energy   -472 meV per atom
Uncorrected energy   -2.683 eV per atom
Space group   No. 11
Energy above the most stable polymorph in this dataset   0 meV per atom

```
AcHg3Pt
1.0
5.444 0.000 -1.977
0.000 6.221 0.000
0.103 0.000 7.570
Ac Hg Pt
2 6 2
direct
0.760 0.948 0.912
0.274 0.448 0.649
0.323 0.686 0.086
0.711 0.186 0.475
0.166 0.948 0.374
0.868 0.448 0.186
0.711 0.709 0.475
0.323 0.209 0.086
0.830 0.448 0.811
0.204 0.948 0.750
```